FeAsSBr2 (PBE-GGA, relaxed); formation energy from raw total energies = 974.6 meV per atom; mass density = 4.11 Mg/m³
1.0
-3.5314 -3.2044 1.9802
3.1501 -1.0238 3.9609
-1.9574 3.7121 2.5162
As S Br Fe
1 1 2 1
direct
0.0000 0.0000 0.5000 As
0.0000 0.0000 0.0000 S
0.5000 0.0000 0.0000 Br
0.0000 0.5000 0.0000 Br
0.5000 0.5000 0.5000 Fe